The following is a PBE-GGA calculation of a relaxed structure of RbLiZrS3, from OQMD.

It has space group Cmcm (No. 63), with a = 3.8329 Å, b = 14.6121 Å, c = 10.0464 Å, α = 90.00°, β = 90.00° and γ = 90.00°. Symmetry generates all atoms from Rb at (0.0000, 0.2386, 0.2500), Li at (0.0000, 0.0381, 0.7500), Zr at (0.0000, 0.5000, 0.0000), S at (0.0000, 0.1162, 0.5469) and S at (0.0000, 0.4474, 0.7500).

The electronic total energy is -5.446 eV per atom. For the calculated density, the calculation gives 3.3 Mg/m³.